1.
10
Lattice="4.563 0.000 0.000 0.000 4.563 0.000 0.000 0.000 10.808" Properties=species:S:1:pos:R:3 comment="NdIn2CuAu, relaxed, DFT GGA-PBE" e_tot_ev_per_cell=-38.3 vol_a3_per_fu=113 magnetic_moment_mub_per_fu=0.01 pbc="T T T"
Nd 1.141 1.141 2.672
Nd 3.422 3.422 8.135
In 1.141 1.141 9.234
In 1.141 3.422 5.404
In 3.422 1.141 5.404
In 3.422 3.422 1.573
Cu 1.141 1.141 6.744
Cu 3.422 3.422 4.064
Au 1.141 3.422 0.000
Au 3.422 1.141 0.000

2.
4
Lattice="0.000 3.127 3.127 3.127 0.000 3.127 3.127 3.127 0.000" Properties=species:S:1:pos:R:3 comment="InCuNiAu, relaxed, DFT GGA-PBE" vol_a3_per_fu=61 relative_energy_mev_per_atom=0 magnetic_moment_mub_per_fu=0.00 pbc="T T T"
In 0.000 0.000 0.000
Cu 1.564 1.564 1.564
Ni 4.691 4.691 4.691
Au 3.127 3.127 3.127

3.
4
Lattice="0.000 3.200 3.200 3.200 0.000 3.200 3.200 3.200 0.000" Properties=species:S:1:pos:R:3 comment="InCuOsAu, relaxed, DFT GGA-PBE" vol_a3_per_fu=66 relative_energy_mev_per_atom=0 magnetic_moment_mub_per_fu=0.00 pbc="T T T"
In 0.000 0.000 0.000
Cu 1.600 1.600 1.600
Os 4.800 4.800 4.800
Au 3.200 3.200 3.200

4.
8
Lattice="4.681 0.000 0.000 0.000 4.681 0.000 0.000 0.000 6.650" Properties=species:S:1:pos:R:3 comment="Zr2In2CuPd2Au, relaxed, DFT GGA-PBE" e_tot_ev_per_cell=-44.1 vol_a3_per_fu=146 magnetic_moment_mub_per_fu=0.01 pbc="T T T"
Zr 0.000 2.340 1.623
Zr 2.340 0.000 5.026
In 0.000 2.340 5.049
In 2.340 0.000 1.601
Cu 0.000 0.000 0.000
Pd 0.000 0.000 3.325
Pd 2.340 2.340 0.000
Au 2.340 2.340 3.325

5.
8
Lattice="8.137 0.000 0.000 0.000 2.324 6.541 0.000 -2.324 6.541" Properties=species:S:1:pos:R:3 comment="Rb2In4CuAu, relaxed, DFT GGA-PBE" e_tot_ev_per_cell=-20.9 vol_a3_per_fu=247 pbc="T T T"
Rb 0.000 0.000 0.000
Rb 4.069 0.000 0.998
In 1.487 0.000 9.350
In 2.447 0.000 4.671
In 5.691 0.000 4.671
In 6.651 0.000 9.350
Cu 0.000 0.000 3.468
Au 4.069 0.000 10.563

6.
4
Lattice="0.000 3.226 3.226 3.226 0.000 3.226 3.226 3.226 0.000" Properties=species:S:1:pos:R:3 comment="InCuReAu, relaxed, DFT GGA-PBE" vol_a3_per_fu=67 relative_energy_mev_per_atom=0 magnetic_moment_mub_per_fu=1.48 pbc="T T T"
In 0.000 0.000 0.000
Cu 1.613 1.613 1.613
Re 4.839 4.839 4.839
Au 3.226 3.226 3.226